Computed, not measured: PuCoO4 after structural relaxation at the GGA+U level of DFT.

Calculated values
**Space group**: Cmmm (65)
**Total DFT energy (no corrections)**: -51.49 eV per formula unit

Unit cell a=4.6519 b=4.6519 c=3.4414 alpha=90.00 beta=90.00 gamma=90.52
With the nearest neighbours (Å) after each atom.
Positions (direct):
1 Pu 0.0000 0.0000 0.0000  6 O 1.95-2.16
2 Co 0.5000 0.5000 0.5000  6 O 1.99-2.17
3 O 0.1988 0.8012 0.5000  1 Co 1.99, 2 Pu 2.16
4 O 0.2975 0.2975 0.0000  1 Pu 1.95, 2 Co 2.17
5 O 0.7025 0.7025 0.0000  1 Pu 1.95, 2 Co 2.17
6 O 0.8012 0.1988 0.5000  1 Co 1.99, 2 Pu 2.16